--- 1 ---
Entry from Alexandria: an optimized crystal structure of RuC2I (GGA-PBE).

Unit cell a=6.1027 b=6.1027 c=6.1027 alpha=119.91 beta=119.91 gamma=90.16
Closest atoms and distances in Å follow each position.
Element x y z (fractional)
Ru  0.3750  0.6250  0.7500  4 C 1.87
Ru  0.6250  0.3750  0.2500  4 C 1.87
C  0.0000  0.5000  0.5000  2 Ru 1.87
C  0.5000  0.0000  0.0000  2 Ru 1.87
C  0.5000  0.5000  0.0000  2 Ru 1.87
C  0.5000  0.5000  0.5000  2 Ru 1.87
I  0.1250  0.8750  0.2500  12 C 3.57-3.58, 4 Ru 3.74, 4 I 3.74
I  0.8750  0.1250  0.7500  12 C 3.57-3.58, 4 I 3.74, 4 Ru 3.74

=====

--- 2 ---
Entry from Alexandria: an optimized crystal structure of RuC2I (GGA-PBE).

Unit cell a=4.0929 b=4.0929 c=4.0929 alpha=60.00 beta=60.00 gamma=60.00
Closest atoms and distances in Å follow each position.
Element x y z (fractional)
Ru  0.0000  0.0000  0.0000  8 C 2.51
C  0.2500  0.2500  0.2500  4 Ru 2.51, 4 I 2.51
C  0.7500  0.7500  0.7500  4 I 2.51, 4 Ru 2.51
I  0.5000  0.5000  0.5000  8 C 2.51

=====

Stability ranking, top entry: 1; the second entry is 1185 meV/atom less favorable.

=====

--- 1 ---
Entry from Alexandria: an optimized crystal structure of TeRuCI2 (GGA-PBE).

Unit cell a=5.0024 b=5.0024 c=4.6743 alpha=90.00 beta=90.00 gamma=90.00
Closest atoms and distances in Å follow each position.
Element x y z (fractional)
Te  0.0000  0.0000  0.0000  2 C 2.34
Ru  0.5000  0.5000  0.0000  8 I 3.42, 4 Te 3.54
C  0.0000  0.0000  0.5000  2 Te 2.34, 4 I 2.50
I  0.0000  0.5000  0.5000  2 C 2.50
I  0.5000  0.0000  0.5000  2 C 2.50

=====

--- 2 ---
Entry from Alexandria: an optimized crystal structure of TeRuCI2 (GGA-PBE).

Unit cell a=5.5644 b=5.5644 c=4.9688 alpha=90.00 beta=90.00 gamma=90.00
Closest atoms and distances in Å follow each position.
Element x y z (fractional)
Te  0.0000  0.0000  0.0000  2 Ru 2.48
Ru  0.0000  0.0000  0.5000  2 Te 2.48, 4 I 2.78
C  0.5000  0.5000  0.0000  8 I 3.73, 4 Te 3.93
I  0.0000  0.5000  0.5000  2 Ru 2.78
I  0.5000  0.0000  0.5000  2 Ru 2.78

=====

Stability ranking, top entry: 1; the second entry is 9 meV/atom less favorable.

=====

--- 1 ---
Entry from Alexandria: an optimized crystal structure of Sb3CI (GGA-PBE).

Unit cell a=5.8170 b=5.8170 c=5.8170 alpha=90.00 beta=90.00 gamma=90.00
Closest atoms and distances in Å follow each position.
Element x y z (fractional)
Sb  0.0000  0.0000  0.5000  2 I 2.91
Sb  0.0000  0.5000  0.0000  2 I 2.91
Sb  0.5000  0.0000  0.0000  2 I 2.91
C  0.5000  0.5000  0.5000  12 Sb 4.11
I  0.0000  0.0000  0.0000  6 Sb 2.91

=====

--- 2 ---
Entry from Alexandria: an optimized crystal structure of Sb3CI (GGA-PBE).

Unit cell a=4.9598 b=4.9598 c=4.9598 alpha=90.00 beta=90.00 gamma=90.00
Closest atoms and distances in Å follow each position.
Element x y z (fractional)
Sb  0.0000  0.0000  0.5000  2 C 2.48
Sb  0.0000  0.5000  0.0000  2 C 2.48
Sb  0.5000  0.0000  0.0000  2 C 2.48
C  0.0000  0.0000  0.0000  6 Sb 2.48
I  0.5000  0.5000  0.5000  12 Sb 3.51

=====

Stability ranking, top entry: 2; the second entry is 1426 meV/atom less favorable.

=====

--- 1 ---
Entry from Alexandria: an optimized crystal structure of SbCSeI2 (GGA-PBE).

Unit cell a=5.7189 b=5.7189 c=5.6670 alpha=90.00 beta=90.00 gamma=90.00
Closest atoms and distances in Å follow each position.
Element x y z (fractional)
Sb  0.0000  0.0000  0.0000  2 Se 2.83
C  0.5000  0.5000  0.0000  8 I 4.03, 4 Sb 4.04
Se  0.0000  0.0000  0.5000  2 Sb 2.83, 4 I 2.86
I  0.0000  0.5000  0.5000  2 Se 2.86
I  0.5000  0.0000  0.5000  2 Se 2.86

=====

--- 2 ---
Entry from Alexandria: an optimized crystal structure of SbCSeI2 (GGA-PBE).

Unit cell a=5.0392 b=5.0392 c=4.8586 alpha=90.00 beta=90.00 gamma=90.00
Closest atoms and distances in Å follow each position.
Element x y z (fractional)
Sb  0.0000  0.0000  0.0000  2 C 2.43
C  0.0000  0.0000  0.5000  2 Sb 2.43, 4 I 2.52
Se  0.5000  0.5000  0.0000  8 I 3.50, 4 Sb 3.56
I  0.0000  0.5000  0.5000  2 C 2.52
I  0.5000  0.0000  0.5000  2 C 2.52

=====

Stability ranking, top entry: 2; the second entry is 598 meV/atom less favorable.

=====

--- 1 ---
Entry from Alexandria: an optimized crystal structure of SrSbCI2 (GGA-PBE).

Unit cell a=6.3189 b=6.3189 c=6.8246 alpha=90.00 beta=90.00 gamma=90.00
Closest atoms and distances in Å follow each position.
Element x y z (fractional)
Sr  0.0000  0.0000  0.0000  4 I 3.16, 2 Sb 3.41
Sb  0.0000  0.0000  0.5000  2 Sr 3.41
C  0.5000  0.5000  0.5000  4 Sb 4.47, 8 I 4.65
I  0.0000  0.5000  0.0000  2 Sr 3.16
I  0.5000  0.0000  0.0000  2 Sr 3.16

=====

--- 2 ---
Entry from Alexandria: an optimized crystal structure of SrSbCI2 (GGA-PBE).

Unit cell a=5.2617 b=5.2617 c=4.9531 alpha=90.00 beta=90.00 gamma=90.00
Closest atoms and distances in Å follow each position.
Element x y z (fractional)
Sr  0.0000  0.0000  0.0000  8 I 3.61, 4 Sb 3.72
Sb  0.5000  0.5000  0.0000  2 C 2.48
C  0.5000  0.5000  0.5000  2 Sb 2.48, 4 I 2.63
I  0.0000  0.5000  0.5000  2 C 2.63
I  0.5000  0.0000  0.5000  2 C 2.63

=====

Stability ranking, top entry: 2; the second entry is 829 meV/atom less favorable.

=====

--- 1 ---
Entry from Alexandria: an optimized crystal structure of TcSb2CI (GGA-PBE).

Unit cell a=5.0529 b=5.0529 c=5.7774 alpha=90.00 beta=90.00 gamma=90.00
Closest atoms and distances in Å follow each position.
Element x y z (fractional)
Tc  0.0000  0.0000  0.0000  4 Sb 2.53
Sb  0.0000  0.5000  0.0000  2 Tc 2.53
Sb  0.5000  0.0000  0.0000  2 Tc 2.53
C  0.5000  0.5000  0.5000  4 I 3.57, 8 Sb 3.84
I  0.0000  0.0000  0.5000  2 Tc 2.89

=====

--- 2 ---
Entry from Alexandria: an optimized crystal structure of TcSb2CI (GGA-PBE).

Unit cell a=4.5825 b=4.5825 c=4.8056 alpha=90.00 beta=90.00 gamma=90.00
Closest atoms and distances in Å follow each position.
Element x y z (fractional)
Tc  0.0000  0.0000  0.0000  4 I 3.24, 8 Sb 3.32
Sb  0.0000  0.5000  0.5000  2 C 2.29
Sb  0.5000  0.0000  0.5000  2 C 2.29
C  0.5000  0.5000  0.5000  4 Sb 2.29, 2 I 2.40
I  0.5000  0.5000  0.0000  2 C 2.40

=====

Stability ranking, top entry: 2; the second entry is 225 meV/atom less favorable.